Computed, not measured: NaGdAgBi after structural relaxation at the GGA-PBE level of DFT.

Calculated values
* size of the total moment: 6.90 μB per formula unit
* ΔE_f: -0.39 eV per atom
* SG: F-43m (216)

Lattice parameters (Å, degrees): 5.314 5.314 5.314 60.00 60.00 60.00
Site moments in Bohr magnetons follow the coordinates.
Element x y z (fractional)
1 Na 0.000 0.000 0.000  0.00
2 Ag 0.750 0.750 0.750  -0.02
3 Bi 0.250 0.250 0.250  -0.07
4 Gd 0.500 0.500 0.500  6.91